# 1
## Li2MoBr (GGA-PBE)

Data for a relaxed structure of Li2MoBr.

Cell and atoms, written as POSCAR:
```
Li2MoBr
1.0
-1.930 1.930 4.802
1.930 -1.930 4.802
1.930 1.930 -4.802
Li Mo Br
2 1 1
direct
0.250 0.750 0.500
0.750 0.250 0.500
0.000 0.000 0.000
0.500 0.500 0.000
```

Summary:
ΔE_f (raw) ... 604.5 meV per atom
DOS at the Fermi energy ... 2.7 states/eV per cell
Space group ... I4/mmm (139)
Uncorrected energy ... -13.9 eV per cell
Polymorph energy (0 for the lowest one) ... 509 meV per atom

---

# 2
## Li2MoBr (GGA-PBE)

Data for a relaxed structure of Li2MoBr.

Cell and atoms, written as POSCAR:
```
Li2MoBr
1.0
-1.862 1.862 4.400
1.862 -1.862 4.400
1.862 1.862 -4.400
Li Mo Br
2 1 1
direct
0.000 0.000 0.000
0.750 0.250 0.500
0.250 0.750 0.500
0.500 0.500 0.000
```

Summary:
ΔE_f (raw) ... 468.2 meV per atom
DOS at the Fermi energy ... 3.2 states/eV per cell
Space group ... I-4m2 (119)
Uncorrected energy ... -14.5 eV per cell
Polymorph energy (0 for the lowest one) ... 373 meV per atom

---

# 3
## Li2MoBr (GGA-PBE)

Data for a relaxed structure of Li2MoBr.

Cell and atoms, written as POSCAR:
```
Li2MoBr
1.0
-1.521 1.567 7.563
1.521 -1.567 7.563
1.521 1.567 -7.563
Li Mo Br
2 1 1
direct
0.000 0.000 0.000
0.651 0.151 0.500
0.263 0.763 0.500
0.412 0.412 0.000
```

Summary:
ΔE_f (raw) ... 308.6 meV per atom
DOS at the Fermi energy ... 1.9 states/eV per cell
Space group ... Imm2 (44)
Uncorrected energy ... -15.1 eV per cell
Polymorph energy (0 for the lowest one) ... 213 meV per atom

---

# 4
## Li2MoBr (GGA-PBE)

Data for a relaxed structure of Li2MoBr.

Cell and atoms, written as POSCAR:
```
Li2MoBr
1.0
4.327 0.000 0.000
0.000 4.327 0.000
0.000 0.000 3.710
Li Mo Br
2 1 1
direct
0.000 0.500 0.000
0.500 0.000 0.000
0.000 0.000 0.500
0.500 0.500 0.500
```

Summary:
ΔE_f (raw) ... 489.1 meV per atom
DOS at the Fermi energy ... 2.5 states/eV per cell
Space group ... P4/mmm (123)
Uncorrected energy ... -14.4 eV per cell
Polymorph energy (0 for the lowest one) ... 393 meV per atom

---

# 5
## Li2NbMoBr (GGA-PBE)

Data for a relaxed structure of Li2NbMoBr.

Cell and atoms, written as POSCAR:
```
Li2NbMoBr
1.0
4.818 0.000 0.000
0.000 4.818 0.000
0.000 0.000 4.782
Li Nb Mo Br
2 1 1 1
direct
0.000 0.500 0.000
0.500 0.000 0.000
0.000 0.000 0.000
0.500 0.500 0.500
0.000 0.000 0.500
```

Summary:
ΔE_f (raw) ... 1721.7 meV per atom
DOS at the Fermi energy ... 5.7 states/eV per cell
Space group ... P4/mmm (123)
Uncorrected energy ... -17.8 eV per cell

---

# 6
## LiMoPtBr2 (GGA-PBE)

Data for a relaxed structure of LiMoPtBr2.

Cell and atoms, written as POSCAR:
```
LiMoPtBr2
1.0
5.184 0.000 0.000
0.000 5.184 0.000
0.000 0.000 4.929
Li Mo Pt Br
1 1 1 2
direct
0.000 0.000 0.000
0.500 0.500 0.500
0.500 0.500 0.000
0.000 0.500 0.500
0.500 0.000 0.500
```

Summary:
ΔE_f (raw) ... 142.2 meV per atom
DOS at the Fermi energy ... 2.9 states/eV per cell
Space group ... P4/mmm (123)
Uncorrected energy ... -21.4 eV per cell

---

# 7
## RbLiMoBr6 (GGA-PBE)

Data for a relaxed structure of RbLiMoBr6.

Cell and atoms, written as POSCAR:
```
RbLiMoBr6
1.0
6.942 0.000 0.000
-3.471 6.012 0.000
0.000 0.000 15.370
Rb Li Mo Br
2 2 2 12
direct
0.000 0.000 0.000
0.000 0.000 0.500
0.333 0.667 0.250
0.667 0.333 0.750
0.333 0.667 0.750
0.667 0.333 0.250
0.020 0.379 0.654
0.020 0.640 0.846
0.360 0.379 0.846
0.360 0.980 0.654
0.379 0.020 0.154
0.379 0.360 0.346
0.621 0.640 0.654
0.621 0.980 0.846
0.640 0.020 0.346
0.640 0.621 0.154
0.980 0.360 0.154
0.980 0.621 0.346
```

Summary:
ΔE_f (raw) ... -1003.2 meV per atom
DOS at the Fermi energy ... 17.6 states/eV per cell
Space group ... P-31c (163)
Uncorrected energy ... -65.6 eV per cell

---

# 8
## RbLi2MoBr8 (GGA-PBE)

Data for a relaxed structure of RbLi2MoBr8.

Cell and atoms, written as POSCAR:
```
RbLi2MoBr8
1.0
6.467 0.000 0.000
3.100 6.633 0.000
2.002 -0.044 9.136
Rb Li Mo Br
1 2 1 8
direct
0.000 0.000 0.000
0.436 0.503 0.176
0.564 0.497 0.824
0.000 0.000 0.500
0.029 0.725 0.332
0.221 0.720 0.666
0.366 0.995 0.359
0.391 0.298 0.997
0.609 0.702 0.003
0.634 0.005 0.641
0.779 0.280 0.334
0.971 0.275 0.668
```

Summary:
ΔE_f (raw) ... -971.7 meV per atom
DOS at the Fermi energy ... 4.7 states/eV per cell
Space group ... P-1 (2)
Uncorrected energy ... -40.7 eV per cell